{"formula": "ThBe2Ni5", "functional": "PBE", "state": "relaxed", "ef_ev_per_atom": -0.36, "dos_ef_per_ev_cell": 4.371, "lattice": [[-1.814, 3.120, 4.426], [1.814, -3.120, 4.426], [1.814, 3.120, -4.426]], "species": ["Th", "Be", "Be", "Ni", "Ni", "Ni", "Ni", "Ni"], "frac_coords": [[0.000, 0.000, 0.000], [0.268, 0.768, 0.500], [0.732, 0.232, 0.500], [0.157, 0.349, 0.808], [0.458, 0.651, 0.808], [0.500, 0.000, 0.500], [0.542, 0.349, 0.192], [0.843, 0.651, 0.192]]}

=====

{"formula": "ErTm2Mg3", "functional": "PBE", "state": "relaxed", "ef_ev_per_atom": -0.06, "dos_ef_per_ev_cell": 8.616, "lattice": [[3.759, 0.000, 0.000], [0.000, 3.759, 0.000], [0.000, 0.000, 11.250]], "species": ["Er", "Tm", "Tm", "Mg", "Mg", "Mg"], "frac_coords": [[0.000, 0.000, 0.000], [0.000, 0.000, 0.334], [0.000, 0.000, 0.666], [0.500, 0.500, 0.168], [0.500, 0.500, 0.500], [0.500, 0.500, 0.832]]}

=====

{"formula": "TlRu2Pt", "functional": "PBE", "state": "relaxed", "ef_ev_per_atom": 0.54, "dos_ef_per_ev_cell": 5.350, "relative_energy_ev_per_atom": 0.279, "lattice": [[1.453, 0.839, 9.020], [-1.453, 0.839, 9.020], [0.000, -1.677, 9.020]], "species": ["Tl", "Ru", "Ru", "Pt"], "frac_coords": [[0.000, 0.000, 0.000], [0.246, 0.246, 0.246], [0.754, 0.754, 0.754], [0.500, 0.500, 0.500]]}